[1]
Compound: GaRuRhO6
Source: Alexandria
Functional: PBE
Structure: relaxed

magnetic moment = 3.457 Bohr magnetons per cell
total DFT energy (no corrections) = -6.480 eV per atom
density of states at the Fermi level = 0.68 states/eV per atom
volume = 94.24 Å³/f.u.

abc: 5.0672 5.0672 8.4759
angles: 90.00 90.00 120.00
Closest atoms and distances in Å follow each position.
Space group P-31c (No. 163)
Asymmetric unit:
Ga 0.3333 0.6667 0.2500 [2 per cell]  6 O 1.98
Ru 0.3333 0.6667 0.7500 [2 per cell]  6 O 1.96
Rh 0.0000 0.0000 0.0000 [2 per cell]  6 O 2.03
O 0.0027 0.3429 0.6263 [12 per cell]  1 Ru 1.96, 1 Ga 1.98, 1 Rh 2.03

***

[2]
Compound: BaLiGaI2
Source: Alexandria
Functional: PBE
Structure: relaxed

magnetic moment = 1.290 Bohr magnetons per cell
total DFT energy (no corrections) = -2.336 eV per atom
density of states at the Fermi level = 1.02 states/eV per atom
volume = 296.77 Å³/f.u.

abc: 6.6983 6.6983 6.6145
angles: 90.00 90.00 90.00
Closest atoms and distances in Å follow each position.
Space group P4/mmm (No. 123)
Asymmetric unit:
Ba 0.0000 0.0000 0.0000 [1 per cell]  2 Ga 3.31, 4 I 3.35
Li 0.5000 0.5000 0.5000 [1 per cell]  8 I 4.71, 4 Ga 4.74
Ga 0.0000 0.0000 0.5000 [1 per cell]  2 Ba 3.31
I 0.0000 0.5000 0.0000 [2 per cell]  2 Ba 3.35

***

[3]
Compound: Na3In4Ga2
Source: Alexandria
Functional: PBE
Structure: relaxed

magnetic moment = 0.000 Bohr magnetons per cell
total DFT energy (no corrections) = -2.433 eV per atom
ΔE_f = -0.104 eV/atom
density of states at the Fermi level = 0.47 states/eV per atom
volume = 223.28 Å³/f.u.

abc: 10.9470 4.9805 9.3424
angles: 90.00 118.75 90.00
Closest atoms and distances in Å follow each position.
Space group C2/m (No. 12)
Asymmetric unit:
Na 0.0000 0.0000 0.0000 [2 per cell]  8 In 3.18-3.53, 4 Ga 3.36, 2 Na 3.50
Na 0.1598 0.5000 0.6733 [4 per cell]  4 Ga 3.21-3.49, 8 In 3.21-3.48, 2 Na 3.44-3.50
In 0.0873 0.0000 0.4111 [4 per cell]  3 Ga 2.86-3.20, 1 In 3.08
In 0.1925 0.5000 0.0339 [4 per cell]  1 Ga 2.80, 2 In 2.99
Ga 0.1099 0.5000 0.2752 [4 per cell]  3 In 2.80-2.86

***

[4]
Compound: Hf2TiGaOs
Source: Alexandria
Functional: PBE
Structure: relaxed

magnetic moment = 1.085 Bohr magnetons per cell
total DFT energy (no corrections) = -8.015 eV per atom
ΔE_f = 0.397 eV/atom
density of states at the Fermi level = 1.15 states/eV per atom
volume = 118.13 Å³/f.u.

abc: 5.0380 5.0380 4.6542
angles: 90.00 90.00 90.00
Closest atoms and distances in Å follow each position.
Space group P4/mmm (No. 123)
Asymmetric unit:
Hf 0.0000 0.5000 0.0000 [2 per cell]  2 Os 2.52
Ti 0.0000 0.0000 0.5000 [1 per cell]  2 Os 2.33
Ga 0.5000 0.5000 0.5000 [1 per cell]  8 Hf 3.43, 4 Ti 3.56
Os 0.0000 0.0000 0.0000 [1 per cell]  2 Ti 2.33, 4 Hf 2.52